# LaTlF3 GGA-PBE relaxed
data_LaTlF3
_cell_length_a 4.811
_cell_length_b 4.811
_cell_length_c 4.811
_cell_angle_alpha 90.00
_cell_angle_beta 90.00
_cell_angle_gamma 90.00
_symmetry_space_group_name_H-M 'P m -3 m'
_symmetry_Int_Tables_number 221
_symmetry_space_group_name_Hall '-P 4 2 3'
loop_
_atom_site_label
_atom_site_type_symbol
_atom_site_fract_x
_atom_site_fract_y
_atom_site_fract_z
_atom_site_occupancy
La1 La 0.000 0.000 0.000 1
Tl1 Tl 0.500 0.500 0.500 1
F1 F 0.000 0.500 0.500 1
# Volume ... 111.4 Å³ per cell
# Offset from the most stable computed form ... 1.0385 eV/atom
# Formation energy without anion corrections ... -1.869 eV per atom

# LaTl2F2 GGA-PBE relaxed
data_LaTl2F2
_cell_length_a 4.061
_cell_length_b 4.061
_cell_length_c 14.158
_cell_angle_alpha 90.00
_cell_angle_beta 90.00
_cell_angle_gamma 90.00
_symmetry_space_group_name_H-M 'I 4/m m m'
_symmetry_Int_Tables_number 139
_symmetry_space_group_name_Hall '-I 4 2'
loop_
_atom_site_label
_atom_site_type_symbol
_atom_site_fract_x
_atom_site_fract_y
_atom_site_fract_z
_atom_site_occupancy
La1 La 0.000 0.000 0.000 1
Tl1 Tl 0.000 0.000 0.359 1
F1 F 0.000 0.500 0.250 1
# Volume ... 233.5 Å³ per cell
# Offset from the most stable computed form ... 0.0000 eV/atom
# Formation energy without anion corrections ... -1.203 eV per atom

# La2TlF7 GGA-PBE relaxed
data_La2TlF7
_cell_length_a 7.557
_cell_length_b 12.012
_cell_length_c 4.652
_cell_angle_alpha 90.00
_cell_angle_beta 90.00
_cell_angle_gamma 90.00
_symmetry_space_group_name_H-M 'C m m m'
_symmetry_Int_Tables_number 65
_symmetry_space_group_name_Hall '-C 2 2'
loop_
_atom_site_label
_atom_site_type_symbol
_atom_site_fract_x
_atom_site_fract_y
_atom_site_fract_z
_atom_site_occupancy
La1 La 0.000 0.194 0.000 1
Tl1 Tl 0.000 0.500 0.500 1
F1 F 0.000 0.000 0.000 1
F2 F 0.000 0.217 0.500 1
F3 F 0.190 0.356 0.000 1
# Volume ... 422.2 Å³ per cell
# Formation energy without anion corrections ... -3.660 eV per atom

# LaTl3F6 GGA-PBE relaxed
data_LaTl3F6
_cell_length_a 11.6205
_cell_length_b 11.6205
_cell_length_c 12.5827
_cell_angle_alpha 90.00
_cell_angle_beta 90.00
_cell_angle_gamma 120.00
_symmetry_space_group_name_H-M 'R -3 c'
_symmetry_Int_Tables_number 167
_symmetry_space_group_name_Hall '-R 3 2"c'
loop_
_atom_site_label
_atom_site_type_symbol
_atom_site_fract_x
_atom_site_fract_y
_atom_site_fract_z
_atom_site_occupancy
La1 La 0.0000 0.0000 0.0000 1
Tl1 Tl 0.0000 0.3137 0.2500 1
F1 F 0.0468 0.1894 0.4009 1
# Volume ... 1471.5 Å³ per cell
# Formation energy without anion corrections ... -2.699 eV per atom

What did the first record say?
# LaTlF3 GGA-PBE relaxed
data_LaTlF3
_cell_length_a 4.811
_cell_length_b 4.811
_cell_length_c 4.811
_cell_angle_alpha 90.00
_cell_angle_beta 90.00
_cell_angle_gamma 90.00
_symmetry_space_group_name_H-M 'P m -3 m'
_symmetry_Int_Tables_number 221
_symmetry_space_group_name_Hall '-P 4 2 3'
loop_
_atom_site_label
_atom_site_type_symbol
_atom_site_fract_x
_atom_site_fract_y
_atom_site_fract_z
_atom_site_occupancy
La1 La 0.000 0.000 0.000 1
Tl1 Tl 0.500 0.500 0.500 1
F1 F 0.000 0.500 0.500 1
# Volume ... 111.4 Å³ per cell
# Offset from the most stable computed form ... 1.0385 eV/atom
# Formation energy without anion corrections ... -1.869 eV per atom